DFT (PBE) results for a relaxed structure of MnMoIr2.

```
data_MnMoIr2
_chemical_formula_sum 'Mn1 Mo1 Ir2'
_cell_length_a 2.767
_cell_length_b 3.791
_cell_length_c 5.483
_cell_angle_alpha 90.00
_cell_angle_beta 90.00
_cell_angle_gamma 90.00
_space_group_name_H-M_alt 'P 1'
_space_group_IT_number 1
loop_
_space_group_symop_operation_xyz
'x,y,z'
loop_
_atom_site_label
_atom_site_type_symbol
_atom_site_fract_x
_atom_site_fract_y
_atom_site_fract_z
_atom_site_occupancy
Mn1 Mn 0.000 0.000 0.000 1
Mo1 Mo 0.000 0.000 0.500 1
Ir1 Ir 0.500 0.500 0.243 1
Ir2 Ir 0.500 0.500 0.757 1
```

Calculated values
Polymorph energy (0 for the lowest one)   0.14 eV per formula unit
Crystal system   orthorhombic

DFT (PBE) results for a relaxed structure of Zr2Sc2Al.

```
data_Zr2Sc2Al
_chemical_formula_sum 'Zr2 Sc2 Al1'
_cell_length_a 5.063
_cell_length_b 5.063
_cell_length_c 5.206
_cell_angle_alpha 103.96
_cell_angle_beta 103.96
_cell_angle_gamma 67.99
_space_group_name_H-M_alt 'P 1'
_space_group_IT_number 1
loop_
_space_group_symop_operation_xyz
'x,y,z'
loop_
_atom_site_label
_atom_site_type_symbol
_atom_site_fract_x
_atom_site_fract_y
_atom_site_fract_z
_atom_site_occupancy
Zr1 Zr 0.249 0.751 0.000 1
Zr2 Zr 0.751 0.249 0.000 1
Sc1 Sc 0.176 0.176 0.576 1
Sc2 Sc 0.824 0.824 0.424 1
Al1 Al 0.500 0.500 0.500 1
```

Calculated values
Polymorph energy (0 for the lowest one)   0.50 eV per formula unit
Crystal system   monoclinic

DFT (PBE) results for a relaxed structure of Li2ZrAl.

```
data_Li2ZrAl
_chemical_formula_sum 'Li4 Zr2 Al2'
_cell_length_a 5.928
_cell_length_b 5.928
_cell_length_c 5.928
_cell_angle_alpha 103.05
_cell_angle_beta 103.05
_cell_angle_gamma 123.27
_space_group_name_H-M_alt 'P 1'
_space_group_IT_number 1
loop_
_space_group_symop_operation_xyz
'x,y,z'
loop_
_atom_site_label
_atom_site_type_symbol
_atom_site_fract_x
_atom_site_fract_y
_atom_site_fract_z
_atom_site_occupancy
Li1 Li 0.096 0.625 0.971 1
Li2 Li 0.375 0.346 0.471 1
Li3 Li 0.654 0.125 0.029 1
Li4 Li 0.875 0.904 0.529 1
Zr1 Zr 0.250 0.750 0.500 1
Zr2 Zr 0.500 0.500 0.000 1
Al1 Al 0.000 0.000 0.000 1
Al2 Al 0.750 0.250 0.500 1
```

Calculated values
Crystal system   tetragonal

Computed DOS(E_F) (states/eV per cell) in order:
3.9, 5.2, 4.1
Computed energy of formation (eV/atom) in order:
-0.219, 0.131, 0.365
Computed calculated volume (A^3/atom) in order:
14.4, 23.7, 19.2